1.
DyRuC2 (PBE, relaxed); magnetic moment = 0.17 μB per formula unit; crystal system = orthorhombic; ΔH_f (0 K) = -0.8 eV per formula unit; polymorph energy (0 for the lowest one) = 0 meV/atom; calculated total energy = -8.290 eV per atom
1.0
4.3625 0.0000 0.0000
-2.1812 4.5788 0.0000
0.0000 0.0000 5.2456
Dy Ru C
2 2 4
direct
0.1837 0.3674 0.2500
0.8163 0.6326 0.7500
0.5000 0.0000 0.5000
0.5000 0.0000 0.0000
0.2429 0.1699 0.7500
0.9270 0.1699 0.7500
0.0730 0.8301 0.2500
0.7571 0.8301 0.2500

2.
DyRu3C (PBE, relaxed); magnetic moment = 0.00 μB per formula unit; crystal system = cubic; ΔH_f (0 K) = -1.1 eV per formula unit; calculated total energy = -8.542 eV per atom
1.0
-3.8206 -0.9384 -1.3563
1.6404 -2.5174 -2.8790
-0.1713 -3.1779 2.6812
Ru Dy C
3 1 1
direct
0.0000 0.5000 0.5000
0.5000 0.0000 0.5000
0.5000 0.5000 0.0000
0.0000 0.0000 0.0000
0.5000 0.5000 0.5000

3.
DyRu2C (PBE, relaxed); magnetic moment = 0.00 μB per formula unit; crystal system = trigonal; ΔH_f (0 K) = 1.1 eV per formula unit; polymorph energy (0 for the lowest one) = 339 meV/atom; calculated total energy = -7.817 eV per atom
1.0
-2.0362 2.4786 0.5092
-0.9161 0.7542 3.0234
4.3065 5.3116 1.7244
Ru Dy C
2 1 1
direct
0.7157 0.7157 0.8529
0.2843 0.2843 0.1471
0.5000 0.5000 0.5000
0.0000 0.0000 0.0000

4.
Dy4Ru2C (PBE, relaxed); magnetic moment = 0.00 μB per formula unit; crystal system = monoclinic; ΔH_f (0 K) = -1.4 eV per formula unit; calculated total energy = -6.801 eV per atom
1.0
-3.5101 3.0933 0.0603
-0.7877 -0.7742 -6.1383
-1.1825 -4.9529 3.7045
Ru Dy C
2 4 1
direct
0.1794 0.2662 0.3587
0.8206 0.7338 0.6413
0.4604 0.7282 0.9207
0.8204 0.2371 0.6409
0.5396 0.2718 0.0793
0.1796 0.7629 0.3591
0.0000 0.0000 0.0000

5.
DyRuC (PBE, relaxed); magnetic moment = 0.00 μB per formula unit; crystal system = monoclinic; ΔH_f (0 K) = -0.7 eV per formula unit; polymorph energy (0 for the lowest one) = 19 meV/atom; calculated total energy = -7.921 eV per atom
1.0
-3.3177 -0.3810 -2.0878
-0.7128 -4.4870 1.9516
-4.6785 -0.3048 3.8547
C Dy Ru
2 2 2
direct
0.6368 0.3852 0.2295
0.3632 0.6148 0.7705
0.6121 0.8554 0.2893
0.3879 0.1446 0.7107
0.1656 0.4142 0.1716
0.8344 0.5858 0.8284

6.
DyRu2C (PBE, relaxed); magnetic moment = 0.00 μB per formula unit; crystal system = orthorhombic; ΔH_f (0 K) = -0.2 eV per formula unit; polymorph energy (0 for the lowest one) = 0 meV/atom; calculated total energy = -8.156 eV per atom
1.0
-1.0995 -2.7177 -1.2136
4.5140 -1.7479 -0.1752
-2.6835 -0.5961 3.7699
Dy Ru C
1 2 1
direct
0.5000 0.5000 0.0000
0.9998 0.8367 0.6733
0.0002 0.1633 0.3267
0.5000 0.0000 0.0000

7.
Dy3RuC3 (PBE, relaxed); magnetic moment = 0.00 μB per formula unit; crystal system = orthorhombic; ΔH_f (0 K) = -2.2 eV per formula unit; calculated total energy = -7.563 eV per atom
1.0
5.0891 0.0000 0.0000
0.0000 6.6646 -1.2497
0.0000 0.0187 6.7819
Dy C Ru
6 6 2
direct
0.7500 0.5959 0.8355
0.7500 0.1083 0.8916
0.2500 0.4041 0.1645
0.7500 0.1646 0.4041
0.2500 0.8917 0.1084
0.2500 0.8354 0.5959
0.2500 0.1678 0.4182
0.2500 0.1200 0.8799
0.2500 0.5819 0.8323
0.7500 0.8800 0.1201
0.7500 0.4181 0.1677
0.7500 0.8322 0.5818
0.2500 0.3065 0.6935
0.7500 0.6935 0.3065

8.
DyRuC (PBE, relaxed); magnetic moment = 0.00 μB per formula unit; crystal system = tetragonal; ΔH_f (0 K) = -0.7 eV per formula unit; polymorph energy (0 for the lowest one) = 0 meV/atom; calculated total energy = -7.940 eV per atom
1.0
-2.9480 0.0772 -2.4893
0.8050 -3.6207 -1.0657
-4.0654 -2.2999 4.7433
Dy C Ru
2 2 2
direct
0.0000 0.0000 0.2500
0.0000 0.0000 0.7500
0.5000 0.0000 0.5000
0.0000 0.5000 0.0000
0.5000 0.5000 0.0000
0.5000 0.5000 0.5000